VASP calculation (PBE-GGA) on GaReIr after structural relaxation.

Values from the calculation:
Total DFT energy (no corrections) = -0.2873 hartree per atom

The structure in extended XYZ format:
```
12
Lattice="5.917 0.000 0.000 0.000 5.917 0.000 0.000 0.000 5.917" Properties=species:S:1:pos:R:3 pbc="T T T"
Ga 0.000 0.000 0.000
Ga 0.000 2.959 2.959
Ga 2.959 0.000 2.959
Ga 2.959 2.959 0.000
Re 1.479 1.479 1.479
Re 1.479 4.438 4.438
Re 4.438 1.479 4.438
Re 4.438 4.438 1.479
Ir 0.000 0.000 2.959
Ir 0.000 2.959 0.000
Ir 2.959 0.000 0.000
Ir 2.959 2.959 2.959
```